Here is a geometry-optimized CdHgMo2Au structure from Alexandria. Energies are from PBE.

It has space group P4/mmm (No. 123), with a = 5.274 Å, b = 5.274 Å, c = 5.068 Å, α = 90.00°, β = 90.00° and γ = 90.00°. The distinct sites, in fractional coordinates, are Cd at (0.000, 0.000, 0.000), Hg at (0.500, 0.500, 0.500), Mo at (0.000, 0.500, 0.000) and Au at (0.000, 0.000, 0.500).

Its formation energy is 9.44 eV per formula unit. The value obtained for the volume is 28.2 Å³ per atom. The value obtained for the magnetic moment is 7.69 μB per cell. The calculation puts the energy at -16.7 eV per cell.